TeAsRhBr2 | the Alexandria database | PBE-GGA | optimized geometry; M_tot = 0.0 μB/f.u.; energy above the most stable polymorph in this dataset = 0.000 eV/atom; space group = No. 123; E_form (uncorrected) = 0.275 eV per atom
1.0
5.0059 0.0000 0.0000
0.0000 5.0059 0.0000
0.0000 0.0000 4.9632
Te As Rh Br
1 1 1 2
Direct
0.0000 0.0000 0.0000 Te
0.5000 0.5000 0.0000 As
0.5000 0.5000 0.5000 Rh
0.0000 0.5000 0.5000 Br
0.5000 0.0000 0.5000 Br